Below is a relaxed structure of Sr4Fe3ClO8, with properties calculated at the PBE+U level.

Cell lengths 3.967, 3.967, 15.807 Å; angles 90.00, 90.00, 90.00 degrees
Atoms (fractional coordinates):
Sr 0.000 0.000 0.613
Sr 0.000 0.000 0.130
Sr 0.000 0.000 0.387
Sr 0.000 0.000 0.870
Fe 0.500 0.500 0.752
Fe 0.500 0.500 0.248
Fe 0.500 0.500 0.500
Cl 0.500 0.500 0.000
O 0.500 0.000 0.500
O 0.500 0.500 0.634
O 0.000 0.500 0.785
O 0.500 0.500 0.366
O 0.500 0.000 0.215
O 0.000 0.500 0.500
O 0.000 0.500 0.215
O 0.500 0.000 0.785

Properties
Its space group is P4/mmm. For the electronic total energy, the calculation gives -6.228 eV/atom. Its density of states at the Fermi level is 0.098 states/eV/cell.